This record from Alexandria via LeMat-Bulk describes a relaxed structure of Tb8Ge3PS4. The functional is PBE-GGA.

The structure in POSCAR format:
```
Tb8Ge3PS4
1.0
4.052 2.339 6.603
-4.052 2.339 6.603
0.000 -4.679 6.603
Tb Ge P S
8 3 1 4
Cartesian
0.000 0.000 4.956 Tb
-2.014 -1.163 11.528 Tb
0.000 -2.326 8.281 Tb
-2.014 1.163 8.281 Tb
2.014 -1.163 11.528 Tb
0.000 2.326 11.528 Tb
2.014 1.163 8.281 Tb
0.000 0.000 14.853 Tb
-4.052 0.000 9.904 Ge
-2.026 1.170 3.301 Ge
2.026 1.170 3.301 Ge
0.000 0.000 9.904 P
0.000 0.000 0.000 S
-2.026 -1.170 6.603 S
-2.026 1.170 13.206 S
0.000 2.339 6.603 S
```

Computed properties:
As for the space group: R-3m (166). The calculation puts the raw total energy at -6.124 eV/atom.

=====

This record from Alexandria via LeMat-Bulk describes a relaxed structure of Er2ThSe. The functional is PBE-GGA.

The structure in POSCAR format:
```
Er2ThSe
1.0
3.699 0.000 0.000
-1.850 3.204 0.000
0.000 0.000 28.406
Er Th Se
6 3 3
Cartesian
0.000 0.000 6.647 Er
0.000 0.000 21.759 Er
0.000 2.136 12.290 Er
0.000 2.136 25.584 Er
1.850 1.068 2.822 Er
1.850 1.068 16.115 Er
0.000 0.000 0.000 Th
0.000 2.136 18.937 Th
1.850 1.068 9.469 Th
0.000 0.000 14.203 Se
0.000 2.136 4.734 Se
1.850 1.068 23.672 Se
```

Computed properties:
As for the space group: R-3m (166). The calculation puts the energy above the most stable polymorph in this dataset at 0.000 eV per atom.

=====

This record from Alexandria via LeMat-Bulk describes a relaxed structure of Dy3CoPb. The functional is PBE-GGA.

The structure in POSCAR format:
```
Dy3CoPb
1.0
4.652 0.000 0.000
0.000 6.689 0.000
0.000 0.000 8.482
Dy Co Pb
6 2 2
Cartesian
1.163 0.012 1.243 Dy
1.163 3.332 1.243 Dy
1.163 5.016 4.983 Dy
3.489 1.672 3.499 Dy
3.489 3.357 7.239 Dy
3.489 6.676 7.239 Dy
1.163 5.016 7.610 Co
3.489 1.672 0.872 Co
1.163 1.672 5.598 Pb
3.489 5.016 2.884 Pb
```

Computed properties:
As for the space group: Pmmn (59). The calculation puts the energy above the most stable polymorph in this dataset at 0.000 eV per atom.

=====

This record from Alexandria via LeMat-Bulk describes a relaxed structure of Np2NiGe3Pt4. The functional is PBE-GGA.

The structure in POSCAR format:
```
Np2NiGe3Pt4
1.0
4.043 0.000 0.000
0.000 4.043 0.000
0.000 0.000 11.216
Np Ni Ge Pt
2 1 3 4
Cartesian
0.000 2.022 2.679 Np
2.022 0.000 8.537 Np
2.022 2.022 0.000 Ni
0.000 0.000 0.000 Ge
0.000 2.022 7.137 Ge
2.022 0.000 4.079 Ge
0.000 0.000 5.608 Pt
0.000 2.022 9.583 Pt
2.022 0.000 1.633 Pt
2.022 2.022 5.608 Pt
```

Computed properties:
As for the space group: P-4m2 (115). The calculation puts the raw total energy at -7.451 eV/atom.

=====

This record from Alexandria via LeMat-Bulk describes a relaxed structure of Ce2MnBe4Si3. The functional is PBE-GGA.

The structure in POSCAR format:
```
Ce2MnBe4Si3
1.0
3.891 0.000 0.000
0.000 3.891 0.000
0.000 0.000 9.753
Ce Mn Be Si
2 1 4 3
Cartesian
0.000 1.946 2.393 Ce
1.946 0.000 7.361 Ce
0.000 0.000 4.877 Mn
0.000 0.000 0.000 Be
0.000 1.946 6.168 Be
1.946 0.000 3.585 Be
1.946 1.946 0.000 Be
0.000 1.946 8.492 Si
1.946 0.000 1.261 Si
1.946 1.946 4.877 Si
```

Computed properties:
As for the space group: P-4m2 (115). The calculation puts the raw total energy at -5.580 eV/atom.

=====

This record from Alexandria via LeMat-Bulk describes a relaxed structure of LiReS3. The functional is PBE-GGA.

The structure in POSCAR format:
```
LiReS3
1.0
4.669 0.000 0.000
0.000 4.669 0.000
0.000 0.000 4.669
Li Re S
1 1 3
Cartesian
0.000 0.000 0.000 Li
2.335 2.335 2.335 Re
0.000 2.335 2.335 S
2.335 0.000 2.335 S
2.335 2.335 0.000 S
```

Computed properties:
As for the space group: Pm-3m (221). The calculation puts the energy above the most stable polymorph in this dataset at 0.327 eV per atom.

=====

This record from Alexandria via LeMat-Bulk describes a relaxed structure of Li3MnPd12. The functional is PBE-GGA.

The structure in POSCAR format:
```
Li3MnPd12
1.0
3.914 0.000 0.000
0.000 3.914 0.000
0.000 0.000 15.466
Li Mn Pd
3 1 12
Cartesian
0.000 0.000 0.000 Li
0.000 0.000 3.825 Li
0.000 0.000 11.641 Li
0.000 0.000 7.733 Mn
0.000 1.957 1.918 Pd
0.000 1.957 5.782 Pd
0.000 1.957 9.685 Pd
0.000 1.957 13.548 Pd
1.957 0.000 1.918 Pd
1.957 0.000 5.782 Pd
1.957 0.000 9.685 Pd
1.957 0.000 13.548 Pd
1.957 1.957 0.000 Pd
1.957 1.957 3.845 Pd
1.957 1.957 7.733 Pd
1.957 1.957 11.621 Pd
```

Computed properties:
As for the space group: P4/mmm (123). The calculation puts the raw total energy at -5.074 eV/atom.

=====

This record from Alexandria via LeMat-Bulk describes a relaxed structure of RbNaGaTe2. The functional is PBE-GGA.

The structure in POSCAR format:
```
RbNaGaTe2
1.0
3.351 -7.798 0.000
3.351 7.798 0.000
0.000 0.000 7.014
Rb Na Ga Te
2 2 2 4
Cartesian
3.351 3.899 5.361 Rb
3.351 -3.899 1.652 Rb
1.676 0.000 3.507 Na
5.027 0.000 3.507 Na
0.000 0.000 0.000 Ga
3.351 0.000 0.000 Ga
3.351 5.736 1.767 Te
3.351 2.061 1.767 Te
3.351 -2.061 5.246 Te
3.351 -5.736 5.246 Te
```

Computed properties:
As for the space group: Cmme (67). The calculation puts the raw total energy at -2.858 eV/atom.

=====

This record from Alexandria via LeMat-Bulk describes a relaxed structure of Nb2BiS. The functional is PBE-GGA.

The structure in POSCAR format:
```
Nb2BiS
1.0
6.702 0.000 0.000
0.000 6.702 0.000
0.000 0.000 6.702
Nb Bi S
8 4 4
Cartesian
1.675 1.675 1.675 Nb
1.675 1.675 5.026 Nb
1.675 5.026 1.675 Nb
1.675 5.026 5.026 Nb
5.026 1.675 1.675 Nb
5.026 1.675 5.026 Nb
5.026 5.026 1.675 Nb
5.026 5.026 5.026 Nb
0.000 0.000 0.000 Bi
0.000 3.351 3.351 Bi
3.351 0.000 3.351 Bi
3.351 3.351 0.000 Bi
0.000 0.000 3.351 S
0.000 3.351 0.000 S
3.351 0.000 0.000 S
3.351 3.351 3.351 S
```

Computed properties:
As for the space group: Fm-3m (225). The calculation puts the energy above the most stable polymorph in this dataset at 0.000 eV per atom.

=====

This record from Alexandria via LeMat-Bulk describes a relaxed structure of NbB2N. The functional is PBE-GGA.

The structure in POSCAR format:
```
NbB2N
1.0
5.186 0.000 0.000
0.000 5.186 0.000
0.000 0.000 5.534
Nb B N
4 8 4
Cartesian
0.000 0.000 0.000 Nb
0.000 2.593 1.383 Nb
2.593 0.000 4.150 Nb
2.593 2.593 2.767 Nb
0.705 1.296 3.459 B
1.296 3.298 4.842 B
1.296 4.481 2.075 B
1.888 1.296 0.692 B
3.298 3.889 0.692 B
3.889 0.705 2.075 B
3.889 1.888 4.842 B
4.481 3.889 3.459 B
0.000 0.000 2.767 N
0.000 2.593 4.150 N
2.593 0.000 1.383 N
2.593 2.593 0.000 N
```

Computed properties:
As for the space group: I-42d (122). The calculation puts the raw total energy at -7.679 eV/atom.

=====

This record from Alexandria via LeMat-Bulk describes a relaxed structure of TbSm4Tm3Se8. The functional is PBE-GGA.

The structure in POSCAR format:
```
TbSm4Tm3Se8
1.0
4.065 2.347 6.839
-4.065 2.347 6.839
0.000 -4.694 6.839
Tb Sm Tm Se
1 4 3 8
Cartesian
0.000 0.000 0.000 Tb
-4.065 0.000 10.259 Sm
-2.033 1.174 3.419 Sm
2.033 1.174 3.420 Sm
0.000 0.000 10.259 Sm
-2.033 -1.174 6.839 Tm
-2.033 1.174 13.678 Tm
0.000 2.347 6.839 Tm
0.000 -2.321 8.458 Se
-2.010 1.160 8.458 Se
0.000 0.000 5.238 Se
-2.010 -1.160 12.059 Se
2.010 1.160 8.458 Se
0.000 0.000 15.279 Se
2.010 -1.160 12.059 Se
0.000 2.321 12.059 Se
```

Computed properties:
As for the space group: R-3m (166). The calculation puts the raw total energy at -5.804 eV/atom.

=====

This record from Alexandria via LeMat-Bulk describes a relaxed structure of CePmO2. The functional is PBE-GGA.

The structure in POSCAR format:
```
CePmO2
1.0
3.521 0.000 0.000
-1.760 3.049 0.000
0.000 0.000 17.349
Ce Pm O
3 3 6
Cartesian
0.000 0.000 0.000 Ce
0.000 2.033 11.566 Ce
1.760 1.016 5.783 Ce
0.000 0.000 8.675 Pm
0.000 2.033 2.892 Pm
1.760 1.016 14.458 Pm
0.000 0.000 4.324 O
0.000 0.000 13.026 O
0.000 2.033 7.243 O
0.000 2.033 15.890 O
1.760 1.016 1.459 O
1.760 1.016 10.107 O
```

Computed properties:
As for the space group: R-3m (166). The calculation puts the energy above the most stable polymorph in this dataset at 0.000 eV per atom.

=====

This record from Alexandria via LeMat-Bulk describes a relaxed structure of NaInAu2. The functional is PBE-GGA.

The structure in POSCAR format:
```
NaInAu2
1.0
4.137 0.000 0.000
0.000 7.177 0.000
-2.055 0.000 6.053
Na In Au
2 2 4
Cartesian
0.002 1.794 0.539 Na
2.080 5.383 5.513 Na
0.005 5.383 2.880 In
2.077 1.794 3.173 In
0.010 0.374 4.679 Au
0.010 3.215 4.679 Au
2.071 3.962 1.374 Au
2.071 6.803 1.374 Au
```

Computed properties:
As for the space group: P2_1/m (11). The calculation puts the raw total energy at -2.948 eV/atom.

=====

This record from Alexandria via LeMat-Bulk describes a relaxed structure of Ho5ThSb6. The functional is PBE-GGA.

The structure in POSCAR format:
```
Ho5ThSb6
1.0
3.804 -6.587 0.000
3.804 6.587 0.000
-2.539 0.000 7.177
Ho Th Sb
5 1 6
Cartesian
0.000 0.000 0.000 Ho
2.534 4.381 3.589 Ho
3.804 2.165 0.000 Ho
3.804 -2.165 0.000 Ho
2.534 -4.381 3.589 Ho
2.534 0.000 3.589 Th
1.246 2.228 1.764 Sb
-0.044 0.000 5.391 Sb
1.246 -2.228 1.764 Sb
3.822 2.228 5.414 Sb
5.113 0.000 1.786 Sb
3.822 -2.228 5.414 Sb
```

Computed properties:
As for the space group: C2/m (12). The calculation puts the raw total energy at -5.676 eV/atom.

=====

This record from Alexandria via LeMat-Bulk describes a relaxed structure of Rb2PI5. The functional is PBE-GGA.

The structure in POSCAR format:
```
Rb2PI5
1.0
6.544 0.000 0.000
-0.404 7.299 0.000
-2.295 -2.583 9.156
Rb P I
2 1 5
Cartesian
0.000 0.000 0.000 Rb
0.758 0.986 7.816 Rb
3.175 0.024 4.362 P
-0.220 3.647 0.395 I
1.758 5.670 2.794 I
0.591 4.617 7.494 I
4.388 1.622 2.861 I
5.058 -1.245 5.431 I
```

Computed properties:
As for the space group: P1 (1). The calculation puts the raw total energy at -2.626 eV/atom.

=====

This record from Alexandria via LeMat-Bulk describes a relaxed structure of La2CdRh2. The functional is PBE-GGA.

The structure in POSCAR format:
```
La2CdRh2
1.0
4.080 0.000 0.000
0.000 4.080 0.000
0.000 0.000 15.841
La Cd Rh
4 2 4
Cartesian
0.000 0.000 2.023 La
0.000 0.000 13.818 La
2.040 2.040 5.898 La
2.040 2.040 9.943 La
0.000 0.000 7.920 Cd
2.040 2.040 0.000 Cd
0.000 2.040 3.960 Rh
0.000 2.040 11.880 Rh
2.040 0.000 3.960 Rh
2.040 0.000 11.880 Rh
```

Computed properties:
As for the space group: I4/mmm (139). The calculation puts the raw total energy at -5.476 eV/atom.

=====

This record from Alexandria via LeMat-Bulk describes a relaxed structure of BaSr3Hg3. The functional is PBE-GGA.

The structure in POSCAR format:
```
BaSr3Hg3
1.0
5.770 3.331 2.297
-5.770 3.331 2.297
0.000 -6.663 2.297
Ba Sr Hg
1 3 3
Cartesian
0.000 0.000 0.000 Ba
-2.883 -1.664 2.302 Sr
2.883 -1.664 2.302 Sr
0.000 3.329 2.302 Sr
0.000 -3.330 1.154 Hg
-2.884 1.665 1.154 Hg
2.884 1.665 1.154 Hg
```

Computed properties:
As for the space group: R3m (160). The calculation puts the energy above the most stable polymorph in this dataset at 0.000 eV per atom.

=====

This record from Alexandria via LeMat-Bulk describes a relaxed structure of Ni2P. The functional is PBE-GGA.

The structure in POSCAR format:
```
Ni2P
1.0
5.858 0.000 0.000
-2.929 5.073 0.000
0.000 0.000 3.386
Ni P
6 3
Cartesian
-0.759 1.314 0.000 Ni
-1.756 3.041 1.693 Ni
1.518 0.000 0.000 Ni
1.173 2.032 1.693 Ni
3.511 0.000 1.693 Ni
2.170 3.759 0.000 Ni
0.000 0.000 1.693 P
0.000 3.382 0.000 P
2.929 1.691 0.000 P
```

Computed properties:
As for the space group: P-62m (189). The calculation puts the raw total energy at -6.133 eV/atom.

=====

This record from Alexandria via LeMat-Bulk describes a relaxed structure of PmHo5Tm3. The functional is PBE-GGA.

The structure in POSCAR format:
```
PmHo5Tm3
1.0
8.343 -4.811 0.000
8.343 4.811 0.000
0.000 0.000 6.950
Pm Ho Tm
2 10 6
Cartesian
8.343 2.938 5.213 Pm
8.343 -2.938 1.738 Pm
8.343 3.455 1.738 Ho
5.361 1.721 5.213 Ho
5.775 1.476 1.738 Ho
5.775 -1.476 5.213 Ho
5.361 -1.721 1.738 Ho
11.325 1.721 5.213 Ho
10.910 1.476 1.738 Ho
10.910 -1.476 5.213 Ho
11.325 -1.721 1.738 Ho
8.343 -3.455 5.213 Ho
2.824 0.000 0.000 Tm
2.824 0.000 3.475 Tm
8.343 0.000 0.000 Tm
8.343 0.000 3.475 Tm
13.862 0.000 0.000 Tm
13.862 0.000 3.475 Tm
```

Computed properties:
As for the space group: Cmcm (63). The calculation puts the energy above the most stable polymorph in this dataset at 0.000 eV per atom.

=====

This record from Alexandria via LeMat-Bulk describes a relaxed structure of LuTlCdPd. The functional is PBE-GGA.

The structure in POSCAR format:
```
LuTlCdPd
1.0
6.992 0.000 0.000
0.000 6.992 0.000
0.000 0.000 6.992
Lu Tl Cd Pd
4 4 4 4
Cartesian
0.000 0.000 0.000 Lu
0.000 3.496 3.496 Lu
3.496 0.000 3.496 Lu
3.496 3.496 0.000 Lu
1.748 1.748 1.748 Tl
1.748 5.244 5.244 Tl
5.244 1.748 5.244 Tl
5.244 5.244 1.748 Tl
0.000 0.000 3.496 Cd
0.000 3.496 0.000 Cd
3.496 0.000 0.000 Cd
3.496 3.496 3.496 Cd
1.748 1.748 5.244 Pd
1.748 5.244 1.748 Pd
5.244 1.748 1.748 Pd
5.244 5.244 5.244 Pd
```

Computed properties:
As for the space group: F-43m (216). The calculation puts the raw total energy at -3.631 eV/atom.

=====

This record from Alexandria via LeMat-Bulk describes a relaxed structure of Pu2Al6Cu3. The functional is PBE-GGA.

The structure in POSCAR format:
```
Pu2Al6Cu3
1.0
7.624 0.000 0.000
-3.812 6.602 0.000
0.000 0.000 4.034
Pu Al Cu
2 6 3
Cartesian
0.000 4.402 0.000 Pu
3.812 2.201 0.000 Pu
-1.166 2.020 2.017 Al
-3.053 5.288 0.000 Al
0.759 1.315 0.000 Al
2.332 0.000 2.017 Al
2.646 4.583 2.017 Al
6.106 0.000 0.000 Al
-2.401 4.159 2.017 Cu
1.411 2.443 2.017 Cu
4.803 0.000 2.017 Cu
```

Computed properties:
As for the space group: P-62m (189). The calculation puts the raw total energy at -5.949 eV/atom.

=====

This record from Alexandria via LeMat-Bulk describes a relaxed structure of CaDyAlCu. The functional is PBE-GGA.

The structure in POSCAR format:
```
CaDyAlCu
1.0
7.187 0.000 0.000
0.000 7.187 0.000
0.000 0.000 7.187
Ca Dy Al Cu
4 4 4 4
Cartesian
0.000 0.000 0.000 Ca
0.000 3.594 3.594 Ca
3.594 0.000 3.594 Ca
3.594 3.594 0.000 Ca
0.000 0.000 3.594 Dy
0.000 3.594 0.000 Dy
3.594 0.000 0.000 Dy
3.594 3.594 3.594 Dy
1.797 1.797 5.390 Al
1.797 5.390 1.797 Al
5.390 1.797 1.797 Al
5.390 5.390 5.390 Al
1.797 1.797 1.797 Cu
1.797 5.390 5.390 Cu
5.390 1.797 5.390 Cu
5.390 5.390 1.797 Cu
```

Computed properties:
As for the space group: F-43m (216). The calculation puts the raw total energy at -3.800 eV/atom.

=====

This record from Alexandria via LeMat-Bulk describes a relaxed structure of Sr2ScNi. The functional is PBE-GGA.

The structure in POSCAR format:
```
Sr2ScNi
1.0
4.199 0.000 0.000
0.000 5.285 0.000
0.000 0.000 5.357
Sr Sc Ni
2 1 1
Cartesian
0.000 0.000 0.000 Sr
0.000 2.643 2.679 Sr
2.100 0.000 2.679 Sc
2.100 2.643 0.000 Ni
```

Computed properties:
As for the space group: Pmmm (47). The calculation puts the energy above the most stable polymorph in this dataset at 0.416 eV per atom.

=====

This record from Alexandria via LeMat-Bulk describes a relaxed structure of LaZrBr2. The functional is PBE-GGA.

The structure in POSCAR format:
```
LaZrBr2
1.0
4.246 0.000 0.000
0.000 4.246 0.000
0.000 0.000 11.998
La Zr Br
2 2 4
Cartesian
0.000 0.000 0.000 La
2.123 2.123 5.999 La
0.000 2.123 8.998 Zr
2.123 0.000 2.999 Zr
0.000 0.000 5.999 Br
0.000 2.123 2.999 Br
2.123 0.000 8.998 Br
2.123 2.123 0.000 Br
```

Computed properties:
As for the space group: I-4m2 (119). The calculation puts the energy above the most stable polymorph in this dataset at 0.485 eV per atom.